No. 1
The following is a DFT calculation (PBE) of a relaxed structure of Ac2Zn9In3.

Values from the calculation:
DOS(E_F) in states/eV/f.u.: 4.87
VASP energy in eV per cell: -61.97
Symmetry: No. 63
Size of the total moment in μB/atom: 0.0000

Unit cell a=8.388 b=8.388 c=9.707 alpha=90.00 beta=90.00 gamma=120.50
Atoms (fractional coordinates):
Zn  0.537  0.361  0.250
Zn  0.039  0.340  0.398
Zn  0.839  0.839  0.750
Zn  0.361  0.537  0.250
Zn  0.039  0.340  0.102
Zn  0.652  0.652  0.061
Zn  0.348  0.348  0.939
Zn  0.961  0.660  0.898
Zn  0.161  0.161  0.250
Zn  0.961  0.660  0.602
Zn  0.652  0.652  0.439
Zn  0.639  0.463  0.750
Zn  0.660  0.961  0.602
Zn  0.660  0.961  0.898
Zn  0.340  0.039  0.102
Zn  0.340  0.039  0.398
Zn  0.348  0.348  0.561
Zn  0.463  0.639  0.750
In  0.311  0.689  0.500
In  0.311  0.689  0.000
In  0.689  0.311  0.500
In  0.689  0.311  0.000
In  0.000  0.000  0.500
In  0.000  0.000  0.000
Ac  0.329  0.003  0.750
Ac  0.003  0.329  0.750
Ac  0.997  0.671  0.250
Ac  0.671  0.997  0.250



No. 2
The following is a DFT calculation (PBE) of a relaxed structure of YHoTm2Se4.

Values from the calculation:
DOS(E_F) in states/eV/f.u.: 4.59
Symmetry: No. 10
ΔE_f (raw) in eV/atom: -1.70
Size of the total moment in μB/atom: 0.0000

Unit cell a=3.989 b=7.074 c=7.000 alpha=71.22 beta=90.00 gamma=90.00
Atoms (fractional coordinates):
Y  0.500  0.500  0.000
Se  0.000  0.756  0.747
Se  0.500  0.245  0.750
Se  0.500  0.755  0.250
Se  0.000  0.244  0.253
Ho  0.000  0.500  0.500
Tm  0.000  0.000  0.000
Tm  0.500  0.000  0.500